# 1
LaTi | PBE | optimized geometry

Computed properties:
Fermi-level density of states: 9.9 states/eV per cell
E_form: 143.48 kJ per mole of atoms
uncorrected energy: -19.7 eV per cell
magnetization: 2.52 μB/f.u.

Cell lengths 5.2629, 5.2629, 6.1131 Å; angles 90.00, 90.00, 120.00 degrees
Closest atoms and distances in Å follow each position.
Fractional positions:
La 0.3333 0.6667 0.7500  5 Ti 3.04-3.06
La 0.6667 0.3333 0.2500  5 Ti 3.04-3.06
Ti 0.3333 0.6667 0.2500  5 La 3.04-3.06
Ti 0.6667 0.3333 0.7500  5 La 3.04-3.06



# 2
Cs3PrEr2Se6 | PBE | optimized geometry

Computed properties:
Fermi-level density of states: 0.0 states/eV per cell
uncorrected energy: -58.0 eV per cell
magnetization: 0.00 μB/f.u.
formation energy (no corrections): -1.717 eV/atom

Cell lengths 7.4522, 7.4522, 8.7454 Å; angles 98.17, 98.17, 120.00 degrees
Closest atoms and distances in Å follow each position.
Fractional positions:
Cs 0.1643 0.8357 0.5000  6 Se 3.57-3.65
Cs 0.8357 0.1643 0.5000  6 Se 3.57-3.65
Cs 0.5000 0.5000 0.5000  6 Se 3.56-3.65
Pr 0.0000 0.0000 0.0000  6 Se 3.01
Er 0.3331 0.6669 0.0000  6 Se 2.90
Er 0.6669 0.3331 0.0000  6 Se 2.90
Se 0.9377 0.5927 0.8133  2 Er 2.90, 1 Pr 3.01
Se 0.7169 0.7169 0.1857  2 Er 2.90, 1 Pr 3.01
Se 0.0623 0.4073 0.1867  2 Er 2.90, 1 Pr 3.01
Se 0.5927 0.9377 0.8133  2 Er 2.90, 1 Pr 3.01
Se 0.2831 0.2831 0.8143  2 Er 2.90, 1 Pr 3.01
Se 0.4073 0.0623 0.1867  2 Er 2.90, 1 Pr 3.01